# 1
Here is crystalline Tb2Dy5Ho2 at its relaxed geometry from the Alexandria database. Energies are from PBE-GGA.

Computed properties:
- Calculated formation energy: 227.4 meV/atom
- Distance to the lowest polymorph of the same formula: 211 meV per atom
- DOS(E_F): 56.24 states/eV/cell
- Final energy: -4.376 eV per atom

abc: 14.7809 11.6650 6.6765
angles: 90.00 90.00 90.00
With the nearest neighbours (Å) after each atom.
Space group Ima2 (No. 46)
Inequivalent atoms, fractional coordinates:
Tb  0.0000  0.0000  0.0000 x4  4 Dy 3.26-3.58, 2 Ho 3.61
Tb  0.2500  0.0108  0.9125 x4  4 Dy 3.35-3.61, 2 Ho 3.52, 2 Tb 3.74
Dy  0.0516  0.7491  0.3120 x8  4 Dy 3.13-3.34, 1 Tb 3.26, 1 Ho 3.27
Dy  0.1432  0.2364  0.1305 x8  4 Dy 3.13-3.35, 1 Ho 3.30, 1 Tb 3.40
Dy  0.2500  0.7490  0.1188 x4  6 Dy 3.20-3.58, 1 Tb 3.35, 2 Ho 3.57
Ho  0.1271  0.5018  0.9621 x8  4 Dy 3.27-3.57, 2 Tb 3.52-3.61, 1 Ho 3.63



# 2
Here is crystalline MnCu3Ag at its relaxed geometry from the Alexandria database. Energies are from PBE-GGA.

Computed properties:
- Calculated formation energy: 1021.5 meV/atom
- Distance to the lowest polymorph of the same formula: 0 meV per atom
- DOS(E_F): 2.69 states/eV/cell
- Final energy: -3.840 eV per atom

abc: 4.5231 4.5231 4.5231
angles: 90.00 90.00 90.00
With the nearest neighbours (Å) after each atom.
Space group Pm-3m (No. 221)
Inequivalent atoms, fractional coordinates:
Mn  0.0000  0.0000  0.0000 x1  6 Cu 2.26
Cu  0.0000  0.0000  0.5000 x3  2 Mn 2.26
Ag  0.5000  0.5000  0.5000 x1  12 Cu 3.20



# 3
Here is crystalline Th2NiB10 at its relaxed geometry from the Alexandria database. Energies are from PBE-GGA.

Computed properties:
- Calculated formation energy: -598.1 meV/atom
- DOS(E_F): 5.78 states/eV/cell
- Final energy: -7.321 eV per atom

abc: 5.6454 11.2244 4.1789
angles: 90.00 90.00 90.00
With the nearest neighbours (Å) after each atom.
Space group Pbam (No. 55)
Inequivalent atoms, fractional coordinates:
Th  0.1931  0.1364  0.0000 x4  20 B 2.91-3.00, 2 Ni 3.12
Ni  0.0000  0.5000  0.5000 x2  8 B 2.12-2.17
B  0.0364  0.3113  0.5000 x4  4 B 1.67-1.78
B  0.1246  0.9594  0.5000 x4  4 B 1.68-1.79
B  0.1522  0.8028  0.5000 x4  5 B 1.67-1.77
B  0.2021  0.3862  0.1995 x8  4 B 1.67-1.79



# 4
Here is crystalline Na2Nb2Cl2O5 at its relaxed geometry from the Alexandria database. Energies are from PBE-GGA.

Computed properties:
- Energy relative to the elements, uncorrected: -2374 kJ/mol of formula units
- Final energy: -6.897 eV per atom

abc: 3.9116 3.9116 24.0419
angles: 90.00 90.00 90.00
With the nearest neighbours (Å) after each atom.
Space group I4/mmm (No. 139)
Inequivalent atoms, fractional coordinates:
Na  0.0000  0.0000  0.1716 x4  4 O 2.73, 4 Cl 2.82
Nb  0.0000  0.0000  0.4201 x4  5 O 1.92-1.98
Cl  0.0000  0.0000  0.3056 x4  1 Nb 2.75, 4 Na 2.82
O  0.0000  0.0000  0.5000 x2  2 Nb 1.92
O  0.0000  0.5000  0.0925 x8  2 Nb 1.98



no.,V (Å³/f.u.)
1,287.8
2,92.5
3,132.4
4,183.9